(1)
VASP calculation (PBE with a Hubbard U) on an optimized crystal structure of MnAlNO2.

Cell lengths 3.636, 3.636, 3.959 Å; angles 90.00, 90.00, 90.00 degrees
Space group P4/mmm (No. 123)
One atom of each set of equivalent atoms:
Mn: 0.000 0.000 0.000
Al: 0.500 0.500 0.500
N: 0.000 0.000 0.500
O: 0.000 0.500 0.000

Output
* E_tot: -6.16 eV per atom
* density of states at the Fermi level: 1.61 states/eV/cell

***

(2)
VASP calculation (PBE with a Hubbard U) on an optimized crystal structure of MnAlNO2.

Cell lengths 3.691, 3.691, 3.824 Å; angles 90.00, 90.00, 90.00 degrees
Space group P4/mmm (No. 123)
One atom of each set of equivalent atoms:
Mn: 0.000 0.000 0.000
Al: 0.500 0.500 0.500
N: 0.500 0.500 0.000
O: 0.000 0.500 0.500

Output
* E_tot: -6.85 eV per atom
* density of states at the Fermi level: 1.20 states/eV/cell

***

Number 1: spin magnetization 3.02 μB/cell. Number 2: spin magnetization 3.00 μB/cell.